[1]
Sr2SmSn3Au4: optimized geometry, PBE.

The structure in CIF format:
```
data_Sr2SmSn3Au4
_chemical_formula_sum 'Sr2 Sm1 Sn3 Au4'
_cell_length_a 4.718
_cell_length_b 4.718
_cell_length_c 12.028
_cell_angle_alpha 90.00
_cell_angle_beta 90.00
_cell_angle_gamma 90.00
_symmetry_space_group_name_H-M 'P -4 m 2'
_symmetry_Int_Tables_number 115
loop_
_symmetry_equiv_pos_as_xyz
'x,y,z'
'y,-x,-z'
'-x,-y,z'
'-y,x,-z'
'-x,y,z'
'-y,-x,-z'
'x,-y,z'
'y,x,-z'
loop_
_atom_site_label
_atom_site_fract_x
_atom_site_fract_y
_atom_site_fract_z
Sr1 0.000 0.500 0.222
Sm1 0.000 0.000 0.500
Sn1 0.000 0.500 0.875
Sn2 0.500 0.500 0.500
Au1 0.000 0.000 0.000
Au2 0.000 0.500 0.650
Au3 0.500 0.500 0.000
```

Results
- Formation enthalpy at 0 K: -0.634 eV/atom
- Raw total energy: -3.954 eV per atom

[2]
TbSmSnAu: optimized geometry, PBE.

The structure in CIF format:
```
data_TbSmSnAu
_chemical_formula_sum 'Tb4 Sm4 Sn4 Au4'
_cell_length_a 7.469
_cell_length_b 7.469
_cell_length_c 7.469
_cell_angle_alpha 90.00
_cell_angle_beta 90.00
_cell_angle_gamma 90.00
_symmetry_space_group_name_H-M 'F -4 3 m'
_symmetry_Int_Tables_number 216
_symmetry_space_group_name_Hall 'F -4 2 3'
loop_
_atom_site_label
_atom_site_fract_x
_atom_site_fract_y
_atom_site_fract_z
Tb1 0.000 0.000 0.000
Sm1 0.000 0.000 0.500
Sn1 0.250 0.250 0.750
Au1 0.250 0.250 0.250
```

Results
- Formation enthalpy at 0 K: -0.718 eV/atom
- Raw total energy: -4.875 eV per atom

[3]
SmSn2Te4Au: optimized geometry, PBE.

The structure in CIF format:
```
data_SmSn2Te4Au
_chemical_formula_sum 'Sm1 Sn2 Te4 Au1'
_cell_length_a 7.813
_cell_length_b 4.378
_cell_length_c 7.918
_cell_angle_alpha 90.00
_cell_angle_beta 111.59
_cell_angle_gamma 90.00
_symmetry_space_group_name_H-M 'P 1 2/m 1'
_symmetry_Int_Tables_number 10
loop_
_symmetry_equiv_pos_as_xyz
'x,y,z'
'-x,-y,-z'
'-x,y,-z'
'x,-y,z'
loop_
_atom_site_label
_atom_site_fract_x
_atom_site_fract_y
_atom_site_fract_z
Sm1 0.000 0.000 0.000
Sn1 0.000 0.500 0.500
Sn2 0.500 0.000 0.500
Te1 0.240 0.500 0.255
Te2 0.271 0.000 0.775
Au1 0.500 0.500 0.000
```

Results
- Uncorrected formation energy: -0.491 eV per atom
- Raw total energy: -4.062 eV per atom

[4]
SmSnTe3Au: optimized geometry, PBE.

The structure in CIF format:
```
data_SmSnTe3Au
_chemical_formula_sum 'Sm2 Sn2 Te6 Au2'
_cell_length_a 8.818
_cell_length_b 4.319
_cell_length_c 10.153
_cell_angle_alpha 90.00
_cell_angle_beta 104.23
_cell_angle_gamma 90.00
_symmetry_space_group_name_H-M 'P 1 21/m 1'
_symmetry_Int_Tables_number 11
loop_
_symmetry_equiv_pos_as_xyz
'x,y,z'
'-x,-y,-z'
'-x,y+1/2,-z'
'x,-y+1/2,z'
loop_
_atom_site_label
_atom_site_fract_x
_atom_site_fract_y
_atom_site_fract_z
Sm1 0.184 0.250 0.180
Sn1 0.296 0.750 0.738
Te1 0.083 0.250 0.853
Te2 0.237 0.250 0.494
Te3 0.426 0.750 0.137
Au1 0.412 0.750 0.407
```

Results
- Uncorrected formation energy: -0.660 eV per atom
- Raw total energy: -4.231 eV per atom

[5]
SmYSnAu: optimized geometry, PBE.

The structure in CIF format:
```
data_SmYSnAu
_chemical_formula_sum 'Sm4 Y4 Sn4 Au4'
_cell_length_a 7.461
_cell_length_b 7.461
_cell_length_c 7.461
_cell_angle_alpha 90.00
_cell_angle_beta 90.00
_cell_angle_gamma 90.00
_symmetry_space_group_name_H-M 'F -4 3 m'
_symmetry_Int_Tables_number 216
_symmetry_space_group_name_Hall 'F -4 2 3'
loop_
_atom_site_label
_atom_site_fract_x
_atom_site_fract_y
_atom_site_fract_z
Sm1 0.000 0.000 0.000
Y1 0.000 0.000 0.500
Sn1 0.250 0.250 0.750
Au1 0.250 0.250 0.250
```

Results
- Formation enthalpy at 0 K: -0.729 eV/atom
- Raw total energy: -5.345 eV per atom

[6]
Sm2Zn4SnAu3: optimized geometry, PBE.

The structure in CIF format:
```
data_Sm2Zn4SnAu3
_chemical_formula_sum 'Sm2 Zn4 Sn1 Au3'
_cell_length_a 4.254
_cell_length_b 4.254
_cell_length_c 11.480
_cell_angle_alpha 90.00
_cell_angle_beta 90.00
_cell_angle_gamma 90.00
_symmetry_space_group_name_H-M 'P -4 m 2'
_symmetry_Int_Tables_number 115
loop_
_symmetry_equiv_pos_as_xyz
'x,y,z'
'y,-x,-z'
'-x,-y,z'
'-y,x,-z'
'-x,y,z'
'-y,-x,-z'
'x,-y,z'
'y,x,-z'
loop_
_atom_site_label
_atom_site_fract_x
_atom_site_fract_y
_atom_site_fract_z
Sm1 0.000 0.500 0.245
Zn1 0.000 0.000 0.000
Zn2 0.000 0.500 0.645
Zn3 0.500 0.500 0.000
Sn1 0.000 0.000 0.500
Au1 0.000 0.500 0.863
Au2 0.500 0.500 0.500
```

Results
- Formation enthalpy at 0 K: -0.489 eV/atom
- Raw total energy: -3.326 eV per atom

[7]
SmZnSnAu: optimized geometry, PBE.

The structure in CIF format:
```
data_SmZnSnAu
_chemical_formula_sum 'Sm4 Zn4 Sn4 Au4'
_cell_length_a 7.083
_cell_length_b 7.083
_cell_length_c 7.083
_cell_angle_alpha 90.00
_cell_angle_beta 90.00
_cell_angle_gamma 90.00
_symmetry_space_group_name_H-M 'F -4 3 m'
_symmetry_Int_Tables_number 216
_symmetry_space_group_name_Hall 'F -4 2 3'
loop_
_atom_site_label
_atom_site_fract_x
_atom_site_fract_y
_atom_site_fract_z
Sm1 0.000 0.000 0.000
Zn1 0.250 0.250 0.750
Sn1 0.000 0.000 0.500
Au1 0.250 0.250 0.250
```

Results
- Formation enthalpy at 0 K: -0.503 eV/atom
- Raw total energy: -3.822 eV per atom

[8]
Sr2SmAu: optimized geometry, PBE.

The structure in CIF format:
```
data_Sr2SmAu
_chemical_formula_sum 'Sr6 Sm3 Au3'
_cell_length_a 3.9823
_cell_length_b 3.9823
_cell_length_c 34.8418
_cell_angle_alpha 90.00
_cell_angle_beta 90.00
_cell_angle_gamma 120.00
_symmetry_space_group_name_H-M 'R -3 m'
_symmetry_Int_Tables_number 166
_symmetry_space_group_name_Hall '-R 3 2"'
loop_
_atom_site_label
_atom_site_fract_x
_atom_site_fract_y
_atom_site_fract_z
Sr1 0.0000 0.0000 0.1071
Sm1 0.0000 0.0000 0.0000
Au1 0.0000 0.0000 0.5000
```

Results
- Formation enthalpy at 0 K: -0.035 eV/atom
- Raw total energy: -2.875 eV per atom

The highest raw total energy belongs to which entry?
Sr2SmAu